1.
Mg3ZnTe: optimized geometry, GGA-PBE.

Cell and atoms, written as CIF:
```
data_Mg3ZnTe
_cell_length_a 5.056
_cell_length_b 5.056
_cell_length_c 5.056
_cell_angle_alpha 90.00
_cell_angle_beta 90.00
_cell_angle_gamma 90.00
_symmetry_space_group_name_H-M 'P m -3 m'
_symmetry_Int_Tables_number 221
_symmetry_space_group_name_Hall '-P 4 2 3'
loop_
_atom_site_label
_atom_site_type_symbol
_atom_site_fract_x
_atom_site_fract_y
_atom_site_fract_z
_atom_site_occupancy
Mg1 Mg 0.000 0.000 0.500 1
Zn1 Zn 0.000 0.000 0.000 1
Te1 Te 0.500 0.500 0.500 1
```

Crystal system   cubic
Total DFT energy (no corrections)   -1.81 eV per atom
Energy above the most stable polymorph in this dataset   0 meV per atom

=====

2.
ZnInAg2: optimized geometry, GGA-PBE.

Cell and atoms, written as CIF:
```
data_ZnInAg2
_cell_length_a 4.198
_cell_length_b 4.198
_cell_length_c 4.219
_cell_angle_alpha 90.00
_cell_angle_beta 90.00
_cell_angle_gamma 90.00
_symmetry_space_group_name_H-M 'P 4/m m m'
_symmetry_Int_Tables_number 123
_symmetry_space_group_name_Hall '-P 4 2'
loop_
_atom_site_label
_atom_site_type_symbol
_atom_site_fract_x
_atom_site_fract_y
_atom_site_fract_z
_atom_site_occupancy
Zn1 Zn 0.000 0.000 0.000 1
In1 In 0.500 0.500 0.000 1
Ag1 Ag 0.000 0.500 0.500 1
```

DFT formation energy   23 meV per atom
Crystal system   tetragonal
Total DFT energy (no corrections)   -2.41 eV per atom

=====

3.
Nd8Se3S4Cl: optimized geometry, GGA-PBE.

Cell and atoms, written as CIF:
```
data_Nd8Se3S4Cl
_cell_length_a 8.2838
_cell_length_b 8.2838
_cell_length_c 20.4126
_cell_angle_alpha 90.00
_cell_angle_beta 90.00
_cell_angle_gamma 120.00
_symmetry_space_group_name_H-M 'R -3 m'
_symmetry_Int_Tables_number 166
_symmetry_space_group_name_Hall '-R 3 2"'
loop_
_atom_site_label
_atom_site_type_symbol
_atom_site_fract_x
_atom_site_fract_y
_atom_site_fract_z
_atom_site_occupancy
Nd1 Nd 0.0000 0.0000 0.2417 1
Nd2 Nd 0.0104 0.5052 0.2401 1
Se1 Se 0.0000 0.5000 0.0000 1
S1 S 0.0000 0.0000 0.5000 1
S2 S 0.0000 0.5000 0.5000 1
Cl1 Cl 0.0000 0.0000 0.0000 1
```

Crystal system   trigonal
Total DFT energy (no corrections)   -6.07 eV per atom

=====

4.
PrSm2Ho7: optimized geometry, GGA-PBE.

Cell and atoms, written as CIF:
```
data_PrSm2Ho7
_cell_length_a 8.633
_cell_length_b 16.654
_cell_length_c 5.455
_cell_angle_alpha 90.00
_cell_angle_beta 90.00
_cell_angle_gamma 90.00
_symmetry_space_group_name_H-M 'C m m m'
_symmetry_Int_Tables_number 65
_symmetry_space_group_name_Hall '-C 2 2'
loop_
_atom_site_label
_atom_site_type_symbol
_atom_site_fract_x
_atom_site_fract_y
_atom_site_fract_z
_atom_site_occupancy
Pr1 Pr 0.000 0.000 0.000 1
Sm1 Sm 0.000 0.297 0.500 1
Ho1 Ho 0.000 0.208 0.000 1
Ho2 Ho 0.000 0.500 0.500 1
Ho3 Ho 0.177 0.112 0.500 1
```

DFT formation energy   694 meV per atom
Crystal system   orthorhombic
Total DFT energy (no corrections)   -3.93 eV per atom
Energy above the most stable polymorph in this dataset   676 meV per atom

=====

Q: What is the total DFT energy (no corrections) in the fourth record?
A: -3.93 eV per atom